Record 1
# GGA-PBE NdNi3, optimized geometry
data_NdNi3
_chemical_formula_sum 'Nd2 Ni6'
_cell_length_a 11.4153
_cell_length_b 11.4153
_cell_length_c 2.7252
_cell_angle_alpha 90.00
_cell_angle_beta 90.00
_cell_angle_gamma 157.41
_symmetry_space_group_name_H-M 'P 1'
_symmetry_Int_Tables_number 1
_symmetry_space_group_name_Hall 'P 1'
loop_
_atom_site_label
_atom_site_type_symbol
_atom_site_fract_x
_atom_site_fract_y
_atom_site_fract_z
Ni1 Ni 0.3297 0.6703 0.0000
Ni2 Ni 0.5499 0.4501 0.0000
Nd1 Nd 0.8985 0.1015 0.0000
Nd2 Nd 0.1015 0.8985 0.0000
Ni3 Ni 0.4501 0.5499 0.0000
Ni4 Ni 0.2253 0.7747 0.0000
Ni5 Ni 0.7747 0.2253 0.0000
Ni6 Ni 0.6703 0.3297 0.0000
# calculated formation energy	0.619	eV/atom
# SG	Cmmm
# calculated total energy	-0.3489	Ry per atom

Record 2
# GGA-PBE Zn2CdSb, optimized geometry
data_Zn2CdSb
_chemical_formula_sum 'Zn2 Cd1 Sb1'
_cell_length_a 4.9450
_cell_length_b 4.9450
_cell_length_c 4.9450
_cell_angle_alpha 60.00
_cell_angle_beta 60.00
_cell_angle_gamma 60.00
_symmetry_space_group_name_H-M 'P 1'
_symmetry_Int_Tables_number 1
_symmetry_space_group_name_Hall 'P 1'
loop_
_atom_site_label
_atom_site_type_symbol
_atom_site_fract_x
_atom_site_fract_y
_atom_site_fract_z
Cd1 Cd 0.2500 0.2500 0.2500
Sb1 Sb 0.5000 0.5000 0.5000
Zn1 Zn 0.7500 0.7500 0.7500
Zn2 Zn 0.0000 0.0000 0.0000
# SG	F-43m
# calculated total energy	-0.1247	Ry per atom

> Which value of calculated total energy does entry 2 give?

-0.1247 Ry per atom